Entry from Alexandria via LeMat-Bulk: ReOs2 after structural relaxation (PBE-GGA).

Cell lengths 7.1692, 7.1692, 7.1692 Å; angles 90.00, 90.00, 90.00 degrees
Last column: nearest neighbours and their distance in Å.
Space group Fd-3m (No. 227, origin choice 2)
Asymmetric unit:
Re1 0.1250 0.1250 0.1250  12 Os 2.97, 4 Re 3.10
Os1 0.0000 0.0000 0.5000  6 Os 2.53

**Excess energy over the best structure of this formula in the dataset**: 0.7769 eV per atom
**Formation energy from the elements**: 702 meV per atom
**N(E_F)**: 1.52 states/eV per atom